# 1
First-principles (PBE) data for a relaxed structure of LaTlHg2, as listed in the Alexandria database.

- Polymorph energy (0 for the lowest one): 290 meV/atom
- Calculated formation energy: -46 kJ/mol of formula units

Lattice parameters (Å, degrees): 3.800 3.800 28.750 90.00 90.00 120.00
Atoms (fractional coordinates):
La (0.000, 0.000, 0.000)
La (0.333, 0.667, 0.667)
La (0.667, 0.333, 0.333)
Tl (0.000, 0.000, 0.760)
Tl (0.333, 0.667, 0.427)
Tl (0.667, 0.333, 0.093)
Hg (0.000, 0.000, 0.247)
Hg (0.000, 0.000, 0.506)
Hg (0.333, 0.667, 0.172)
Hg (0.333, 0.667, 0.914)
Hg (0.667, 0.333, 0.580)
Hg (0.667, 0.333, 0.839)

---

# 2
First-principles (PBE) data for a relaxed structure of La8TlHg2, as listed in the Alexandria database.

- Polymorph energy (0 for the lowest one): 0 meV/atom
- Calculated formation energy: -223 kJ/mol of formula units

Lattice parameters (Å, degrees): 9.324 9.324 9.324 147.42 122.98 67.24
Atoms (fractional coordinates):
La (0.120, 0.343, 0.777)
La (0.141, 0.141, 0.000)
La (0.326, 0.000, 0.326)
La (0.434, 0.657, 0.777)
La (0.566, 0.343, 0.223)
La (0.674, 0.000, 0.674)
La (0.859, 0.859, 0.000)
La (0.880, 0.657, 0.223)
Tl (0.000, 0.500, 0.500)
Hg (0.303, 0.803, 0.500)
Hg (0.697, 0.197, 0.500)

---

# 3
First-principles (PBE) data for a relaxed structure of LaTl2Hg, as listed in the Alexandria database.

- Calculated formation energy: -71 kJ/mol of formula units

Lattice parameters (Å, degrees): 3.928 3.928 7.477 90.00 90.00 90.00
Atoms (fractional coordinates):
La (0.000, 0.000, 0.000)
Tl (0.500, 0.500, 0.275)
Tl (0.500, 0.500, 0.725)
Hg (0.000, 0.000, 0.500)

---

# 4
First-principles (PBE) data for a relaxed structure of La2TlHg2, as listed in the Alexandria database.

- Polymorph energy (0 for the lowest one): 0 meV/atom
- Calculated formation energy: -213 kJ/mol of formula units

Lattice parameters (Å, degrees): 8.600 8.600 4.069 90.00 90.00 90.00
Atoms (fractional coordinates):
La (0.174, 0.326, 0.000)
La (0.326, 0.826, 0.000)
La (0.674, 0.174, 0.000)
La (0.826, 0.674, 0.000)
Tl (0.000, 0.000, 0.500)
Tl (0.500, 0.500, 0.500)
Hg (0.125, 0.625, 0.500)
Hg (0.375, 0.125, 0.500)
Hg (0.625, 0.875, 0.500)
Hg (0.875, 0.375, 0.500)